Record 1
ZnGaNO2 | PBE | optimized geometry

space group: P4/mmm
density: 5.05 g cm⁻³
crystal system: tetragonal
calculated total energy: -4.01 eV/atom
raw formation energy: 0.50 eV per atom

Lattice parameters (Å, degrees): 3.970 3.970 3.782 90.00 90.00 90.00
Last column: magnetic moment on the atom in μB.
Atoms (fractional coordinates):
N 0.000 0.000 0.500  0.95
Ga 0.500 0.500 0.500  -0.01
O 0.000 0.500 0.000  0.25
Zn 0.000 0.000 0.000  0.08
O 0.500 0.000 0.000  0.25

---

Record 2
ErTi2As4 | PBE | optimized geometry

space group: Cmcm
density: 6.55 g cm⁻³
crystal system: orthorhombic
calculated total energy: -6.36 eV/atom
energy relative to the elements: -0.794 eV/atom

Lattice parameters (Å, degrees): 3.747 6.424 12.400 90.00 90.00 106.96
Atoms (fractional coordinates):
As 0.064 0.128 0.250
Er 0.387 0.775 0.250
As 0.936 0.872 0.750
Ti 0.132 0.264 0.058
Ti 0.132 0.264 0.442
As 0.500 0.000 0.000
As 0.760 0.521 0.377
As 0.760 0.521 0.123
Ti 0.868 0.736 0.942
As 0.240 0.479 0.623
Ti 0.868 0.736 0.558
As 0.240 0.479 0.877
Er 0.613 0.225 0.750
As 0.500 0.000 0.500

---

Record 3
Ba4TaZn | PBE | optimized geometry

space group: F-43m
density: 5.19 g cm⁻³
crystal system: cubic
calculated total energy: -2.31 eV/atom
energy relative to the elements: 1.159 eV/atom

Lattice parameters (Å, degrees): 7.115 7.115 7.115 60.00 60.00 60.00
Last column: magnetic moment on the atom in μB.
Atoms (fractional coordinates):
Ta 0.750 0.750 0.750  2.06
Ba 0.375 0.874 0.375  0.05
Ba 0.375 0.375 0.375  0.05
Ba 0.874 0.375 0.375  0.05
Ba 0.375 0.375 0.874  0.05
Zn 0.000 0.000 0.000  0.01

---

Record 4
Ca3AlP | PBE | optimized geometry

space group: Pm-3m
density: 1.83 g cm⁻³
crystal system: cubic
calculated total energy: -3.48 eV/atom
energy relative to the lowest polymorph listed for this composition: 0 meV/atom
energy relative to the elements: -0.449 eV/atom

Lattice parameters (Å, degrees): 5.448 5.448 5.448 90.00 90.00 90.00
Atoms (fractional coordinates):
Ca 0.000 0.500 0.000
Al 0.500 0.500 0.500
P 0.000 0.000 0.000
Ca 0.500 0.000 0.000
Ca 0.000 0.000 0.500

---

Record 5
SiP2Se | PBE | optimized geometry

space group: P4mm
density: 3.41 g cm⁻³
crystal system: tetragonal
calculated total energy: -4.53 eV/atom
energy relative to the lowest polymorph listed for this composition: 458 meV/atom
raw formation energy: 0.40 eV per atom

Lattice parameters (Å, degrees): 3.151 3.151 8.279 90.00 90.00 90.00
Atoms (fractional coordinates):
P 0.500 0.500 0.162
P 0.000 0.000 0.053
Si 0.500 0.500 0.719
Se 0.000 0.000 0.566

---

Record 6
Pm6Tm5Sc | PBE | optimized geometry

space group: Immm
density: 7.70 g cm⁻³
crystal system: orthorhombic
calculated total energy: -4.74 eV/atom
energy relative to the elements: 0.027 eV/atom

Lattice parameters (Å, degrees): 5.062 9.876 9.400 121.68 105.61 90.02
Atoms (fractional coordinates):
Pm 0.500 0.246 0.000
Pm 0.834 0.586 0.668
Tm 0.334 0.334 0.668
Tm 0.666 0.166 0.332
Tm 0.334 0.834 0.668
Pm 0.166 0.414 0.332
Sc 0.000 0.000 0.000
Tm 0.666 0.666 0.332
Tm 0.000 0.500 0.000
Pm 0.834 0.082 0.668
Pm 0.500 0.754 0.000
Pm 0.166 0.918 0.332

---

Record 7
Sr2In3SbPt4 | PBE | optimized geometry

space group: P-4m2
density: 9.83 g cm⁻³
crystal system: tetragonal
calculated total energy: -4.69 eV/atom
raw formation energy: -0.71 eV per atom

Lattice parameters (Å, degrees): 4.814 4.814 10.366 90.00 90.00 90.00
Atoms (fractional coordinates):
Sr 0.000 0.500 0.764
In 0.500 0.000 0.879
In 0.000 0.500 0.121
Pt 0.500 0.000 0.621
Sr 0.500 0.000 0.236
In 0.000 0.000 0.500
Pt 0.000 0.500 0.379
Pt 0.000 0.000 0.000
Sb 0.500 0.500 0.500
Pt 0.500 0.500 0.000

---

Record 8
Y2TePd | PBE | optimized geometry

space group: R-3m
density: 6.25 g cm⁻³
crystal system: trigonal
calculated total energy: -6.36 eV/atom
raw formation energy: -1.05 eV per atom

Lattice parameters (Å, degrees): 4.150 4.150 7.723 74.41 74.41 60.00
Atoms (fractional coordinates):
Te 0.500 0.500 0.500
Pd 0.000 0.000 0.000
Y 0.739 0.739 0.783
Y 0.261 0.261 0.217

---

Record 9
RbNb3Re | PBE | optimized geometry

space group: Pm-3m
density: 7.15 g cm⁻³
crystal system: cubic
calculated total energy: -7.36 eV/atom
energy relative to the lowest polymorph listed for this composition: 0 meV/atom
energy relative to the elements: 1.362 eV/atom

Lattice parameters (Å, degrees): 5.037 5.037 5.037 90.00 90.00 90.00
Last column: magnetic moment on the atom in μB.
Atoms (fractional coordinates):
Nb 0.500 0.000 0.000  0.26
Rb 0.500 0.500 0.500  0.02
Nb 0.000 0.500 0.000  0.13
Re 0.000 0.000 0.000  -0.05
Nb 0.000 0.000 0.500  0.07

---

Record 10
Na2TbRe3O12 | PBE | optimized geometry

space group: R-3m
density: 6.36 g cm⁻³
crystal system: trigonal
calculated total energy: -7.59 eV/atom
raw formation energy: -1.80 eV per atom

Lattice parameters (Å, degrees): 6.727 6.727 6.727 67.47 67.47 67.47
Last column: magnetic moment on the atom in μB.
Atoms (fractional coordinates):
O 0.133 0.133 0.589  -0.01
Na 0.367 0.367 0.367  0.00
O 0.867 0.411 0.867  -0.01
Na 0.633 0.633 0.633  0.00
O 0.727 0.727 0.090  0.03
O 0.133 0.589 0.133  -0.01
Re 0.500 0.000 0.000  0.17
O 0.411 0.867 0.867  -0.01
O 0.273 0.910 0.273  0.03
Re 0.000 0.000 0.500  0.17
Tb 0.000 0.000 0.000  0.00
O 0.090 0.727 0.727  0.03
O 0.867 0.867 0.411  -0.01
O 0.910 0.273 0.273  0.03
Re 0.000 0.500 0.000  0.17
O 0.727 0.090 0.727  0.03
O 0.589 0.133 0.133  -0.01
O 0.273 0.273 0.910  0.03

---

Record 11
Re3AgPt | PBE | optimized geometry

space group: Pm-3m
density: 13.25 g cm⁻³
crystal system: cubic
calculated total energy: -6.76 eV/atom
energy relative to the lowest polymorph listed for this composition: 0 meV/atom
energy relative to the elements: 2.486 eV/atom

Lattice parameters (Å, degrees): 4.762 4.762 4.762 90.00 90.00 90.00
Last column: magnetic moment on the atom in μB.
Atoms (fractional coordinates):
Pt 0.000 0.000 0.000  -0.03
Re 0.000 0.000 0.500  0.41
Re 0.000 0.500 0.000  0.51
Ag 0.500 0.500 0.500  0.03
Re 0.500 0.000 0.000  0.64

---

Record 12
Pr2SmHo5 | PBE | optimized geometry

space group: Pbam
density: 8.01 g cm⁻³
crystal system: orthorhombic
calculated total energy: -4.62 eV/atom
energy relative to the lowest polymorph listed for this composition: 0 meV/atom
energy relative to the elements: 0.021 eV/atom

Lattice parameters (Å, degrees): 5.072 7.165 14.338 90.00 90.00 90.00
Atoms (fractional coordinates):
Pr 0.500 0.248 0.126
Ho 0.500 0.751 0.625
Ho 0.500 0.249 0.375
Ho 0.000 0.000 0.000
Ho 0.500 0.251 0.875
Sm 0.000 0.500 0.000
Ho 0.000 0.001 0.751
Ho 0.000 0.501 0.749
Pr 0.500 0.252 0.626
Sm 0.000 0.000 0.500
Ho 0.000 0.500 0.500
Ho 0.000 0.999 0.249
Ho 0.000 0.499 0.251
Pr 0.500 0.748 0.374
Pr 0.500 0.752 0.874
Ho 0.500 0.749 0.125

---

Record 13
TlRe2Hg | PBE | optimized geometry

space group: I-4m2
density: 17.92 g cm⁻³
crystal system: tetragonal
calculated total energy: -5.73 eV/atom
energy relative to the lowest polymorph listed for this composition: 716 meV/atom
energy relative to the elements: 1.164 eV/atom

Lattice parameters (Å, degrees): 4.962 4.962 4.962 128.90 128.90 75.17
Atoms (fractional coordinates):
Tl 0.500 0.500 0.000
Hg 0.750 0.250 0.500
Re 0.250 0.750 0.500
Re 0.000 0.000 0.000

---

Record 14
Pr5PdS8 | PBE | optimized geometry

space group: I-4
density: 5.56 g cm⁻³
crystal system: tetragonal
calculated total energy: -6.20 eV/atom
raw formation energy: -1.77 eV per atom

Lattice parameters (Å, degrees): 7.456 7.456 7.456 110.38 107.67 110.38
Atoms (fractional coordinates):
S 0.591 0.859 0.844
S 0.739 0.231 0.341
S 0.986 0.141 0.732
Pr 0.365 0.121 0.979
Pr 0.500 0.000 0.500
S 0.268 0.253 0.409
Pr 0.858 0.879 0.244
Pr 0.021 0.386 0.142
S 0.659 0.398 0.890
Pr 0.756 0.614 0.635
S 0.156 0.747 0.014
S 0.492 0.602 0.261
S 0.110 0.769 0.508
Pd 0.250 0.500 0.750

---

Record 15
K2YInCl6 | PBE | optimized geometry

space group: R3
density: 2.38 g cm⁻³
crystal system: trigonal
calculated total energy: -4.14 eV/atom
energy relative to the lowest polymorph listed for this composition: 0 meV/atom
raw formation energy: -1.89 eV per atom

Lattice parameters (Å, degrees): 7.714 7.715 8.044 61.34 61.34 59.98
Atoms (fractional coordinates):
Y 0.323 0.323 0.032
Cl 0.123 0.428 0.782
K 0.532 0.531 0.405
Cl 0.211 0.985 0.242
K 0.020 0.020 0.939
Cl 0.562 0.211 0.242
In 0.811 0.811 0.567
Cl 0.667 0.123 0.782
Cl 0.985 0.563 0.242
Cl 0.428 0.667 0.782

---

Record 16
K3TlAs2O8 | PBE | optimized geometry

space group: P-3m1
density: 4.23 g cm⁻³
crystal system: trigonal
calculated total energy: -5.30 eV/atom
raw formation energy: -1.40 eV per atom

Lattice parameters (Å, degrees): 5.887 5.887 7.850 90.00 90.00 120.00
Atoms (fractional coordinates):
O 0.828 0.172 0.684
O 0.172 0.828 0.316
O 0.656 0.828 0.316
O 0.667 0.333 0.971
As 0.333 0.667 0.243
As 0.667 0.333 0.757
O 0.333 0.667 0.029
K 0.000 0.000 0.000
K 0.333 0.667 0.705
O 0.344 0.172 0.684
Tl 0.000 0.000 0.500
O 0.172 0.344 0.316
O 0.828 0.656 0.684
K 0.667 0.333 0.295

---

Record 17
Pr3B2Pt9Au | PBE | optimized geometry

space group: P-3m1
density: 14.14 g cm⁻³
crystal system: trigonal
calculated total energy: -6.42 eV/atom
energy relative to the elements: -0.733 eV/atom

Lattice parameters (Å, degrees): 5.812 5.812 9.621 90.00 90.00 120.00
Atoms (fractional coordinates):
Au 0.000 0.000 0.500
Pr 0.000 0.000 0.000
Pt 0.668 0.834 0.276
Pt 0.500 0.000 0.000
Pt 0.834 0.166 0.724
B 0.667 0.333 0.855
Pt 0.166 0.834 0.276
Pt 0.000 0.500 0.000
Pt 0.500 0.500 0.000
Pr 0.667 0.333 0.391
B 0.333 0.667 0.145
Pt 0.834 0.668 0.724
Pt 0.332 0.166 0.724
Pr 0.333 0.667 0.609
Pt 0.166 0.332 0.276

---

Record 18
Li2BiAs | PBE | optimized geometry

space group: P4/mmm
density: 6.20 g cm⁻³
crystal system: tetragonal
calculated total energy: -3.46 eV/atom
energy relative to the lowest polymorph listed for this composition: 17 meV/atom
energy relative to the elements: -0.372 eV/atom

Lattice parameters (Å, degrees): 3.512 3.512 6.469 90.00 90.00 90.00
Atoms (fractional coordinates):
As 0.500 0.500 0.500
Bi 0.500 0.500 0.000
Li 0.000 0.000 0.298
Li 0.000 0.000 0.702

---

Record 19
UInSe3 | PBE | optimized geometry

space group: C2/m
density: 7.15 g cm⁻³
crystal system: monoclinic
calculated total energy: -5.70 eV/atom
energy relative to the lowest polymorph listed for this composition: 0 meV/atom
raw formation energy: -0.80 eV per atom

Lattice parameters (Å, degrees): 4.263 7.671 8.858 102.73 103.92 90.00
Last column: magnetic moment on the atom in μB.
Atoms (fractional coordinates):
Se 0.951 0.801 0.901  -0.07
In 0.476 0.306 0.952  0.04
In 0.524 0.694 0.048  0.04
Se 0.339 0.025 0.679  -0.06
U 0.215 0.238 0.431  2.08
Se 0.661 0.975 0.321  -0.06
U 0.785 0.762 0.569  2.08
Se 0.814 0.402 0.627  -0.08
Se 0.186 0.598 0.373  -0.08
Se 0.049 0.199 0.099  -0.07

---

Record 20
SmGa3Ag3 | PBE | optimized geometry

space group: Pm-3n
density: 6.54 g cm⁻³
crystal system: cubic
calculated total energy: -2.97 eV/atom
energy relative to the lowest polymorph listed for this composition: 471 meV/atom
energy relative to the elements: 0.219 eV/atom

Lattice parameters (Å, degrees): 7.027 7.027 7.027 90.00 90.00 90.00
Atoms (fractional coordinates):
Ag 0.250 0.000 0.500
Ga 0.250 0.500 0.000
Ga 0.500 0.000 0.250
Ag 0.500 0.750 0.000
Ag 0.750 0.000 0.500
Ga 0.000 0.250 0.500
Ga 0.500 0.000 0.750
Ag 0.500 0.250 0.000
Sm 0.000 0.000 0.000
Ag 0.000 0.500 0.250
Ga 0.000 0.750 0.500
Ga 0.750 0.500 0.000
Sm 0.500 0.500 0.500
Ag 0.000 0.500 0.750